Material: SrSnSb2Cl
Method: DFT, PBE-GGA
State: relaxed

Cell: 6.140 5.286 6.140 Å, 90.00 90.00 90.00°
Fractional coordinates of all 5 atoms:
Sb 0.000 0.000 0.500
Sb 0.500 0.000 0.000
Cl 0.000 0.500 0.000
Sn 0.500 0.500 0.500
Sr 0.000 0.000 0.000

The raw total energy is -3.068 eV per atom. As for the formation energy without anion corrections: 0.4 eV/f.u. As for the density of states at the Fermi level: 4.29 states/eV/f.u.

***

Material: Er4Co2Pd
Method: DFT, PBE-GGA
State: relaxed

Cell: 7.296 7.293 7.294 Å, 109.05 109.05 110.33°
Fractional coordinates of all 14 atoms:
Er 0.991 0.246 0.379
Er 0.383 0.504 0.245
Er 0.867 0.612 0.622
Er 0.755 0.133 0.745
Er 0.388 0.010 0.255
Er 0.259 0.138 0.755
Er 0.495 0.740 0.878
Er 0.862 0.617 0.122
Co 0.503 0.375 0.628
Co 0.747 0.875 0.372
Co 0.625 0.250 0.125
Co 0.125 0.500 0.876
Pd 0.251 0.751 0.500
Pd 0.999 0.999 0.000

The raw total energy is -5.731 eV per atom. The formation energy is -0.352 eV/atom. As for the density of states at the Fermi level: 2.66 states/eV/f.u.

***

Material: NdZn2Ag2Pd
Method: DFT, PBE-GGA
State: relaxed

Cell: 4.833 4.833 5.568 Å, 90.00 90.00 90.00°
Fractional coordinates of all 6 atoms:
Nd 0.000 0.000 0.500
Zn 0.500 0.000 0.000
Zn 0.000 0.500 0.000
Ag 0.500 0.500 0.742
Ag 0.500 0.500 0.258
Pd 0.000 0.000 0.000

The raw total energy is -3.204 eV per atom. The formation energy is -0.168 eV/atom. As for the density of states at the Fermi level: 2.66 states/eV/f.u.

***

Material: ZnTcOs2I
Method: DFT, PBE-GGA
State: relaxed

Cell: 4.721 5.257 4.721 Å, 90.00 90.00 90.00°
Fractional coordinates of all 5 atoms:
I 0.000 0.500 0.000
Zn 0.500 0.500 0.500
Os 0.000 0.000 0.500
Os 0.500 0.000 0.000
Tc 0.000 0.000 0.000

The raw total energy is -5.178 eV per atom. As for the formation energy without anion corrections: 9.8 eV/f.u. As for the density of states at the Fermi level: 5.35 states/eV/f.u.